{"formula": "LiH2IO", "functional": "PBE-GGA", "state": "relaxed", "e_above_lowest_polymorph_ev_per_atom": 0.0000, "total_magnetization_mub_per_fu": 0.000, "lattice_angstrom": [[-0.816, 2.444, -3.560], [0.487, -4.543, -3.231], [-6.313, -1.146, 0.659]], "species": ["H", "H", "O", "I", "Li", "Li", "O", "H", "I", "H"], "fractional_positions": [[0.676, 0.348, 0.750], [0.676, 0.652, 0.250], [0.500, 0.763, 0.250], [0.000, 0.742, 0.750], [0.500, 0.000, 0.500], [0.500, 0.000, 0.000], [0.500, 0.237, 0.750], [0.324, 0.652, 0.250], [0.000, 0.258, 0.250], [0.324, 0.348, 0.750]]}



{"formula": "K3Tm2PtO6", "functional": "PBE-GGA", "state": "relaxed", "raw_formation_energy_ev_per_fu": -24.931, "total_magnetization_mub_per_fu": 1.000, "lattice_angstrom": [[-2.390, 1.921, -4.987], [-2.202, -4.664, 2.770], [-2.318, 4.576, 3.941]], "species": ["O", "K", "Tm", "K", "O", "Tm", "O", "O", "O", "Pt", "O", "K"], "fractional_positions": [[0.936, 0.592, 0.805], [0.841, 0.159, 0.500], [0.330, 0.670, 0.000], [0.159, 0.841, 0.500], [0.739, 0.739, 0.174], [0.670, 0.330, 0.000], [0.592, 0.936, 0.805], [0.408, 0.064, 0.195], [0.261, 0.261, 0.826], [0.000, 0.000, 0.000], [0.064, 0.408, 0.195], [0.500, 0.500, 0.500]]}



{"formula": "Zn2TeIr", "functional": "PBE-GGA", "state": "relaxed", "raw_formation_energy_ev_per_fu": 0.796, "total_magnetization_mub_per_fu": 0.000, "lattice_angstrom": [[5.375, -0.014, -0.012], [2.207, 4.901, 0.012], [-3.170, -3.408, 2.689]], "species": ["Te", "Ir", "Zn", "Zn"], "fractional_positions": [[0.250, 0.750, 0.500], [0.750, 0.250, 0.500], [0.979, 0.979, 0.000], [0.521, 0.521, 0.000]]}



{"formula": "Tb2Pr4ErMg", "functional": "PBE-GGA", "state": "relaxed", "delta_e_f_ev_per_atom": 0.047, "total_magnetization_mub_per_fu": 0.000, "lattice_angstrom": [[-4.395, 2.782, -2.647], [-3.707, -2.027, 4.024], [-2.381, 4.221, 8.390]], "species": ["Pr", "Pr", "Pr", "Tb", "Mg", "Pr", "Tb", "Er"], "fractional_positions": [[0.000, 0.241, 0.259], [0.500, 0.261, 0.740], [0.500, 0.739, 0.260], [0.500, 0.000, 0.500], [0.000, 0.500, 0.500], [0.000, 0.759, 0.741], [0.000, 0.000, 0.000], [0.500, 0.500, 0.000]]}



{"formula": "Pu6Mn3Ru2", "functional": "PBE-GGA", "state": "relaxed", "delta_e_f_ev_per_atom": 0.208, "total_magnetization_mub_per_fu": 24.309, "lattice_angstrom": [[5.244, 0.000, 0.000], [0.000, 5.244, 0.000], [-2.622, -2.622, 8.893]], "species": ["Pu", "Mn", "Pu", "Pu", "Pu", "Pu", "Ru", "Ru", "Mn", "Pu", "Mn"], "fractional_positions": [[0.727, 0.727, 0.454], [0.148, 0.148, 0.297], [0.404, 0.904, 0.808], [0.904, 0.404, 0.808], [0.096, 0.596, 0.192], [0.273, 0.273, 0.546], [0.425, 0.425, 0.851], [0.575, 0.575, 0.149], [0.852, 0.852, 0.703], [0.596, 0.096, 0.192], [0.000, 0.000, 0.000]]}



{"formula": "Al2ZnIr", "functional": "PBE-GGA", "state": "relaxed", "delta_e_f_ev_per_atom": -0.456, "total_magnetization_mub_per_fu": 0.000, "lattice_angstrom": [[4.393, 0.000, 0.000], [0.000, 2.873, 0.000], [0.000, -0.001, 4.552]], "species": ["Al", "Ir", "Al", "Zn"], "fractional_positions": [[0.500, 0.125, 0.315], [0.000, 0.625, 0.440], [0.000, 0.125, 0.934], [0.500, 0.625, 0.811]]}



{"formula": "NaTb2GaO5", "functional": "PBE-GGA", "state": "relaxed", "raw_formation_energy_ev_per_fu": -23.276, "total_magnetization_mub_per_fu": 0.000, "lattice_angstrom": [[-1.437, -2.014, -5.150], [6.295, -0.478, -1.569], [0.122, -6.069, 2.339]], "species": ["Tb", "Ga", "O", "O", "O", "Tb", "O", "O", "Tb", "O", "Na", "O", "Tb", "O", "O", "Na", "Ga", "O"], "fractional_positions": [[0.500, 0.678, 0.178], [0.000, 0.500, 0.000], [0.757, 0.862, 0.362], [0.757, 0.138, 0.638], [0.757, 0.638, 0.862], [0.500, 0.322, 0.822], [0.243, 0.638, 0.862], [0.243, 0.138, 0.638], [0.500, 0.822, 0.678], [0.500, 0.500, 0.500], [0.000, 0.000, 0.000], [0.500, 0.000, 0.000], [0.500, 0.178, 0.322], [0.243, 0.362, 0.138], [0.243, 0.862, 0.362], [0.000, 0.500, 0.500], [0.000, 0.000, 0.500], [0.757, 0.362, 0.138]]}



{"formula": "CsKBr2F8", "functional": "PBE-GGA", "state": "relaxed", "raw_formation_energy_ev_per_fu": -16.437, "total_magnetization_mub_per_fu": 0.000, "lattice_angstrom": [[5.315, 0.000, 0.000], [2.658, 6.270, 1.226], [2.658, 3.775, 8.114]], "species": ["K", "F", "Cs", "F", "F", "F", "F", "F", "F", "F", "Br", "Br"], "fractional_positions": [[0.000, 0.000, 0.000], [0.596, 0.718, 0.090], [0.500, 0.500, 0.500], [0.390, 0.964, 0.754], [0.852, 0.547, 0.749], [0.148, 0.453, 0.251], [0.404, 0.282, 0.910], [0.108, 0.036, 0.246], [0.892, 0.964, 0.754], [0.610, 0.036, 0.246], [0.720, 0.650, 0.910], [0.280, 0.350, 0.090]]}



{"formula": "ErTm5Pb3", "functional": "PBE-GGA", "state": "relaxed", "delta_e_f_ev_per_atom": -0.322, "total_magnetization_mub_per_fu": 2.537, "lattice_angstrom": [[-3.213, 5.228, 2.301], [1.027, -3.216, 8.743], [6.501, 5.631, -3.716]], "species": ["Tm", "Pb", "Pb", "Pb", "Pb", "Tm", "Tm", "Tm", "Tm", "Tm", "Er", "Pb", "Pb", "Tm", "Tm", "Er", "Tm", "Tm"], "fractional_positions": [[0.750, 0.000, 0.335], [0.250, 0.332, 0.000], [0.750, 0.668, 0.000], [0.250, 0.668, 0.668], [0.750, 0.332, 0.332], [0.750, 0.665, 0.665], [0.000, 0.667, 0.333], [0.000, 0.333, 0.667], [0.250, 0.335, 0.335], [0.500, 0.333, 0.667], [0.000, 0.000, 0.000], [0.750, 0.000, 0.668], [0.250, 0.000, 0.332], [0.250, 0.000, 0.665], [0.750, 0.335, 0.000], [0.500, 0.000, 0.000], [0.500, 0.667, 0.333], [0.250, 0.665, 0.000]]}



{"formula": "BaCe2GaAs4", "functional": "PBE-GGA", "state": "relaxed", "delta_e_f_ev_per_atom": -1.065, "total_magnetization_mub_per_fu": 0.994, "lattice_angstrom": [[4.265, 0.000, 0.000], [-2.133, 7.312, 0.000], [0.000, 0.000, 14.375]], "species": ["As", "As", "As", "Ce", "Ga", "As", "Ce", "Ce", "Ba", "As", "Ba", "Ga", "As", "As", "Ce", "As"], "fractional_positions": [[0.561, 0.122, 0.250], [0.262, 0.523, 0.115], [0.439, 0.878, 0.750], [0.369, 0.738, 0.555], [0.158, 0.315, 0.250], [0.262, 0.523, 0.385], [0.631, 0.262, 0.445], [0.369, 0.738, 0.945], [0.113, 0.225, 0.750], [0.738, 0.477, 0.885], [0.887, 0.775, 0.250], [0.842, 0.685, 0.750], [0.000, 0.000, 0.000], [0.000, 0.000, 0.500], [0.631, 0.262, 0.055], [0.738, 0.477, 0.615]]}



{"formula": "Nd8Y3Th", "functional": "PBE-GGA", "state": "relaxed", "delta_e_f_ev_per_atom": 0.350, "total_magnetization_mub_per_fu": 0.000, "lattice_angstrom": [[0.560, 6.635, -5.817], [-2.185, -8.563, -0.260], [-7.044, 2.784, 4.561]], "species": ["Nd", "Y", "Nd", "Nd", "Nd", "Nd", "Nd", "Th", "Nd", "Y", "Y", "Nd"], "fractional_positions": [[0.501, 0.266, 0.272], [0.500, 0.274, 0.774], [0.995, 0.229, 0.728], [0.159, 0.746, 0.914], [0.841, 0.755, 0.587], [0.168, 0.254, 0.413], [0.499, 0.771, 0.765], [0.000, 0.000, 0.000], [0.005, 0.734, 0.235], [0.500, 0.726, 0.226], [0.000, 0.500, 0.500], [0.832, 0.245, 0.086]]}



{"formula": "LaBS3", "functional": "PBE-GGA", "state": "relaxed", "raw_formation_energy_ev_per_fu": -6.261, "e_above_lowest_polymorph_ev_per_atom": 0.0333, "total_magnetization_mub_per_fu": 0.000, "lattice_angstrom": [[-1.992, -1.926, -3.639], [0.342, -6.037, 2.765], [-5.824, -0.493, 3.201]], "species": ["S", "S", "S", "S", "S", "La", "S", "B", "La", "B"], "fractional_positions": [[0.519, 0.281, 0.301], [0.966, 0.042, 0.060], [0.518, 0.862, 0.722], [0.953, 0.549, 0.988], [0.966, 0.624, 0.481], [0.006, 0.155, 0.594], [0.531, 0.356, 0.795], [0.742, 0.614, 0.730], [0.478, 0.749, 0.188], [0.743, 0.291, 0.052]]}



Table of E (eV per atom), in record order: -4.163, -6.080, -3.439, -4.270, -11.797, -4.861, -6.853, -3.059, -4.550, -5.492, -5.063, -6.050